Record 1
# LiZn2Pb (PBE, optimized geometry)
data_LiZn2Pb
_chemical_formula_sum 'Li2 Zn4 Pb2'
_cell_length_a 9.3280
_cell_length_b 3.3609
_cell_length_c 5.0558
_cell_angle_alpha 90.00
_cell_angle_beta 97.89
_cell_angle_gamma 90.00
_symmetry_space_group_name_H-M 'C 1 2/m 1'
_symmetry_Int_Tables_number 12
_symmetry_space_group_name_Hall '-C 2y'
loop_
_atom_site_label
_atom_site_fract_x
_atom_site_fract_y
_atom_site_fract_z
Li1 0.0000 0.0000 0.0000
Zn1 0.2433 0.5000 0.2022
Pb1 0.0000 0.5000 0.5000
# DOS at the Fermi energy: 0.17 states/eV/atom
# Size of the total moment: 0.0 μB/f.u.
# DFT formation energy: -0.029 eV per atom

Record 2
# Li2Zn2Pb (PBE, optimized geometry)
data_Li2Zn2Pb
_chemical_formula_sum 'Li4 Zn4 Pb2'
_cell_length_a 4.1404
_cell_length_b 4.1404
_cell_length_c 11.7753
_cell_angle_alpha 90.00
_cell_angle_beta 90.00
_cell_angle_gamma 90.00
_symmetry_space_group_name_H-M 'I 4/m m m'
_symmetry_Int_Tables_number 139
_symmetry_space_group_name_Hall '-I 4 2'
loop_
_atom_site_label
_atom_site_fract_x
_atom_site_fract_y
_atom_site_fract_z
Li1 0.0000 0.5000 0.2500
Zn1 0.0000 0.0000 0.1067
Pb1 0.0000 0.0000 0.5000
# DOS at the Fermi energy: 0.40 states/eV/atom
# Energy relative to the lowest polymorph listed for this composition: 0.128 eV/atom
# Size of the total moment: 0.0 μB/f.u.
# DFT formation energy: -0.002 eV per atom

Record 3
# Li2Zn2Pb (PBE, optimized geometry)
data_Li2Zn2Pb
_chemical_formula_sum 'Li4 Zn4 Pb2'
_cell_length_a 7.3174
_cell_length_b 7.3174
_cell_length_c 3.4753
_cell_angle_alpha 90.00
_cell_angle_beta 90.00
_cell_angle_gamma 90.00
_symmetry_space_group_name_H-M 'P 4/m b m'
_symmetry_Int_Tables_number 127
_symmetry_space_group_name_Hall '-P 4 2ab'
loop_
_atom_site_label
_atom_site_fract_x
_atom_site_fract_y
_atom_site_fract_z
Li1 0.1453 0.3547 0.0000
Zn1 0.1391 0.6391 0.5000
Pb1 0.0000 0.0000 0.0000
# DOS at the Fermi energy: 0.37 states/eV/atom
# Energy relative to the lowest polymorph listed for this composition: 0.080 eV/atom
# Size of the total moment: 0.0 μB/f.u.
# DFT formation energy: -0.050 eV per atom

Record 4
# LiZnPb2 (PBE, optimized geometry)
data_LiZnPb2
_chemical_formula_sum 'Li2 Zn2 Pb4'
_cell_length_a 4.4372
_cell_length_b 4.4372
_cell_length_c 9.7509
_cell_angle_alpha 90.00
_cell_angle_beta 90.00
_cell_angle_gamma 90.00
_symmetry_space_group_name_H-M 'I -4 m 2'
_symmetry_Int_Tables_number 119
_symmetry_space_group_name_Hall 'I -4 -2'
loop_
_atom_site_label
_atom_site_fract_x
_atom_site_fract_y
_atom_site_fract_z
Li1 0.0000 0.0000 0.0000
Zn1 0.0000 0.5000 0.2500
Pb1 0.0000 0.0000 0.5000
Pb2 0.0000 0.5000 0.7500
# DOS at the Fermi energy: 0.28 states/eV/atom
# Size of the total moment: 0.0 μB/f.u.
# DFT formation energy: -0.036 eV per atom

Record 5
# LiZn3Pb (PBE, optimized geometry)
data_LiZn3Pb
_chemical_formula_sum 'Li1 Zn3 Pb1'
_cell_length_a 4.6891
_cell_length_b 4.6891
_cell_length_c 4.6891
_cell_angle_alpha 90.00
_cell_angle_beta 90.00
_cell_angle_gamma 90.00
_symmetry_space_group_name_H-M 'P m -3 m'
_symmetry_Int_Tables_number 221
_symmetry_space_group_name_Hall '-P 4 2 3'
loop_
_atom_site_label
_atom_site_fract_x
_atom_site_fract_y
_atom_site_fract_z
Li1 0.0000 0.0000 0.0000
Zn1 0.0000 0.0000 0.5000
Pb1 0.5000 0.5000 0.5000
# DOS at the Fermi energy: 0.40 states/eV/atom
# Energy relative to the lowest polymorph listed for this composition: 0.000 eV/atom
# Size of the total moment: 0.0 μB/f.u.
# DFT formation energy: 0.306 eV per atom

Record 6
# Li4ZnPb (PBE, optimized geometry)
data_Li4ZnPb
_chemical_formula_sum 'Li16 Zn4 Pb4'
_cell_length_a 14.4261
_cell_length_b 6.8203
_cell_length_c 4.9073
_cell_angle_alpha 90.00
_cell_angle_beta 109.79
_cell_angle_gamma 90.00
_symmetry_space_group_name_H-M 'C 1 2/m 1'
_symmetry_Int_Tables_number 12
_symmetry_space_group_name_Hall '-C 2y'
loop_
_atom_site_label
_atom_site_fract_x
_atom_site_fract_y
_atom_site_fract_z
Li1 0.0000 0.1774 0.0000
Li2 0.1311 0.2282 0.6307
Li3 0.1823 0.5000 0.1829
Zn1 0.9996 0.5000 0.2551
Pb1 0.1942 0.0000 0.1937
# DOS at the Fermi energy: 0.24 states/eV/atom
# Energy relative to the lowest polymorph listed for this composition: 0.003 eV/atom
# Size of the total moment: 0.0 μB/f.u.
# DFT formation energy: -0.202 eV per atom

Record 7
# LiZn2Pb (PBE, optimized geometry)
data_LiZn2Pb
_chemical_formula_sum 'Li2 Zn4 Pb2'
_cell_length_a 5.7688
_cell_length_b 10.5240
_cell_length_c 3.1211
_cell_angle_alpha 90.00
_cell_angle_beta 122.35
_cell_angle_gamma 90.00
_symmetry_space_group_name_H-M 'C 1 2/m 1'
_symmetry_Int_Tables_number 12
_symmetry_space_group_name_Hall '-C 2y'
loop_
_atom_site_label
_atom_site_fract_x
_atom_site_fract_y
_atom_site_fract_z
Li1 0.0000 0.0000 0.0000
Zn1 0.2500 0.2500 0.5000
Pb1 0.0000 0.5000 0.0000
# DOS at the Fermi energy: 0.44 states/eV/atom
# Size of the total moment: 0.0 μB/f.u.
# DFT formation energy: 0.028 eV per atom

Record 8
# LiZnPb2 (PBE, optimized geometry)
data_LiZnPb2
_chemical_formula_sum 'Li1 Zn1 Pb2'
_cell_length_a 3.5470
_cell_length_b 4.8321
_cell_length_c 5.7854
_cell_angle_alpha 90.00
_cell_angle_beta 107.59
_cell_angle_gamma 90.00
_symmetry_space_group_name_H-M 'P 1 m 1'
_symmetry_Int_Tables_number 6
_symmetry_space_group_name_Hall 'P -2y'
loop_
_atom_site_label
_atom_site_fract_x
_atom_site_fract_y
_atom_site_fract_z
Li1 0.0000 0.0000 0.0000
Zn1 0.8645 0.5000 0.7117
Pb1 0.2786 0.0000 0.5443
Pb2 0.5821 0.5000 0.1647
# DOS at the Fermi energy: 0.38 states/eV/atom
# Size of the total moment: 0.0 μB/f.u.
# DFT formation energy: -0.053 eV per atom

> Which of these has the highest DFT formation energy?

LiZn3Pb

> Which of these has the lowest DFT formation energy?

Li4ZnPb

> Among the records above, which one has the highest DOS at the Fermi energy?

number 7

What did the eighth record say?
# LiZnPb2 (PBE, optimized geometry)
data_LiZnPb2
_chemical_formula_sum 'Li1 Zn1 Pb2'
_cell_length_a 3.5470
_cell_length_b 4.8321
_cell_length_c 5.7854
_cell_angle_alpha 90.00
_cell_angle_beta 107.59
_cell_angle_gamma 90.00
_symmetry_space_group_name_H-M 'P 1 m 1'
_symmetry_Int_Tables_number 6
_symmetry_space_group_name_Hall 'P -2y'
loop_
_atom_site_label
_atom_site_fract_x
_atom_site_fract_y
_atom_site_fract_z
Li1 0.0000 0.0000 0.0000
Zn1 0.8645 0.5000 0.7117
Pb1 0.2786 0.0000 0.5443
Pb2 0.5821 0.5000 0.1647
# DOS at the Fermi energy: 0.38 states/eV/atom
# Size of the total moment: 0.0 μB/f.u.
# DFT formation energy: -0.053 eV per atom